1.
VASP calculation (PBE) on a relaxed TiAl2Pb2 crystal.

Cell lengths 7.711, 7.711, 7.711 Å; angles 148.16, 148.16, 45.64 degrees
Fractional coordinates of all 5 atoms:
Ti 0.000 0.000 0.000
Al 0.414 0.414 0.000
Al 0.586 0.586 0.000
Pb 0.250 0.750 0.500
Pb 0.750 0.250 0.500

## Properties
- uncorrected energy (Ry/atom) = -0.29022
- offset from the most stable computed form (meV/atom) = 326.6
- V (A^3/atom) = 25.43
- DFT formation energy (eV/atom) = 0.61
- density (g cm⁻³) = 6.74

---

2.
VASP calculation (PBE) on a relaxed La2YRu crystal.

Cell lengths 7.025, 7.025, 7.025 Å; angles 101.30, 101.30, 127.45 degrees
Fractional coordinates of all 8 atoms:
La 0.037 0.625 0.912
La 0.375 0.287 0.412
La 0.713 0.125 0.088
La 0.875 0.963 0.588
Y 0.250 0.750 0.500
Y 0.500 0.500 0.000
Ru 0.000 0.000 0.000
Ru 0.750 0.250 0.500

## Properties
- uncorrected energy (Ry/atom) = -0.46834
- offset from the most stable computed form (meV/atom) = 269.1
- V (A^3/atom) = 30.85
- DFT formation energy (eV/atom) = 0.03
- density (g cm⁻³) = 6.30

---

3.
VASP calculation (PBE) on a relaxed InCoHg crystal.

Cell lengths 6.102, 6.102, 6.102 Å; angles 150.41, 150.41, 42.34 degrees
Fractional coordinates of all 3 atoms:
In 0.000 0.000 0.000
Co 0.632 0.632 0.000
Hg 0.282 0.282 0.000

## Properties
- uncorrected energy (Ry/atom) = -0.22575
- offset from the most stable computed form (meV/atom) = 13.1
- V (A^3/atom) = 18.42
- DFT formation energy (eV/atom) = 0.31
- density (g cm⁻³) = 11.25

---

4.
VASP calculation (PBE) on a relaxed CeAs2Rh crystal.

Cell lengths 7.212, 4.303, 10.746 Å; angles 90.00, 90.00, 90.00 degrees
Fractional coordinates of all 16 atoms:
Ce 0.231 0.250 0.175
Ce 0.269 0.750 0.675
Ce 0.731 0.250 0.325
Ce 0.769 0.750 0.825
As 0.030 0.750 0.332
As 0.154 0.750 0.983
As 0.346 0.250 0.483
As 0.470 0.250 0.832
As 0.530 0.750 0.168
As 0.654 0.750 0.517
As 0.846 0.250 0.017
As 0.970 0.250 0.668
Rh 0.126 0.250 0.875
Rh 0.374 0.750 0.375
Rh 0.626 0.250 0.625
Rh 0.874 0.750 0.125

## Properties
- uncorrected energy (Ry/atom) = -0.48651
- V (A^3/atom) = 20.84
- DFT formation energy (eV/atom) = -0.97
- density (g cm⁻³) = 7.83